DFT (PBE) results for a relaxed structure of Sr2SnPd3.

The structure belongs to space group P6_3/mmc (No. 194); the cell edges are 5.8619, 5.8619 and 9.0241 Å and the angles 90.00°, 90.00° and 120.00°. The distinct sites, in fractional coordinates, are Sr at (0.3333, 0.6667, 0.0656), Sn at (0.0000, 0.0000, 0.0000) and Pd at (0.1694, 0.3388, 0.7500).

Its formation energy is -64 kJ per mole of atoms. Its calculated volume is 22.379 Å³/atom. The total magnetization is 0.00 μB per formula unit. The calculation puts the total energy at -4.49 eV per atom. The calculation puts the density at 7.6 g/cm³.


DFT (PBE) results for a relaxed structure of PmLu2Hf.

The structure belongs to space group P4/mmm (No. 123); the cell edges are 3.9052, 3.9052 and 7.5672 Å and the angles 90.00°, 90.00° and 90.00°. The distinct sites, in fractional coordinates, are Pm at (0.0000, 0.0000, 0.0000), Lu at (0.5000, 0.5000, 0.2849) and Hf at (0.0000, 0.0000, 0.5000).

Its formation energy is 19 kJ per mole of atoms. Its calculated volume is 28.850 Å³/atom. The total magnetization is 0.00 μB per formula unit. The calculation puts the total energy at -5.73 eV per atom. The calculation puts the density at 9.7 g/cm³.


DFT (PBE) results for a relaxed structure of LiZnSb2.

The structure belongs to space group Cmmm (No. 65); the cell edges are 4.0835, 5.1496 and 8.4330 Å and the angles 90.00°, 90.00° and 90.00°. The distinct sites, in fractional coordinates, are Li at (0.0000, 0.0000, 0.0000), Zn at (0.0000, 0.0000, 0.5000) and Sb at (0.0000, 0.5000, 0.2524).

Its calculated volume is 22.166 Å³/atom. The total magnetization is 0.00 μB per formula unit. The calculation puts the total energy at -2.92 eV per atom. The calculation puts the density at 5.9 g/cm³.


DFT (PBE) results for a relaxed structure of TmLuAlFe.

The structure belongs to space group F-43m (No. 216); the cell edges are 6.8860, 6.8860 and 6.8860 Å and the angles 90.00°, 90.00° and 90.00°. The distinct sites, in fractional coordinates, are Tm at (0.0000, 0.0000, 0.0000), Lu at (0.0000, 0.0000, 0.5000), Al at (0.2500, 0.2500, 0.2500) and Fe at (0.2500, 0.2500, 0.7500).

Its formation energy is -12 kJ per mole of atoms. Its calculated volume is 20.407 Å³/atom. The total magnetization is 1.06 μB per formula unit. The calculation puts the total energy at -5.42 eV per atom. The calculation puts the density at 8.7 g/cm³.


DFT (PBE) results for a relaxed structure of Y6Er2Tm3In.

The structure belongs to space group C2/m (No. 12); the cell edges are 6.0786, 10.5376 and 11.5914 Å and the angles 90.00°, 100.13° and 90.00°. The distinct sites, in fractional coordinates, are Y at (0.2470, 0.0000, 0.2515), Y at (0.2465, 0.1646, 0.7474), Er at (0.0000, 0.3339, 0.5000), Tm at (0.0000, 0.1665, 0.0000), Tm at (0.0000, 0.5000, 0.0000) and In at (0.0000, 0.0000, 0.5000).

Its formation energy is -3 kJ per mole of atoms. Its calculated volume is 30.454 Å³/atom. The total magnetization is 0.00 μB per formula unit. The calculation puts the total energy at -5.37 eV per atom. The calculation puts the density at 6.8 g/cm³.


DFT (PBE) results for a relaxed structure of KCaIr2.

The structure belongs to space group F-43m (No. 216); the cell edges are 6.8839, 6.8839 and 6.8839 Å and the angles 90.00°, 90.00° and 90.00°. The distinct sites, in fractional coordinates, are K at (0.0000, 0.0000, 0.0000), Ca at (0.2500, 0.2500, 0.7500), Ir at (0.0000, 0.0000, 0.5000) and Ir at (0.2500, 0.2500, 0.2500).

Its formation energy is 64 kJ per mole of atoms. Its calculated volume is 20.389 Å³/atom. The total magnetization is 1.62 μB per formula unit. The calculation puts the total energy at -4.54 eV per atom. The calculation puts the density at 9.4 g/cm³.


DFT (PBE) results for a relaxed structure of Cs2CdBrO.

The structure belongs to space group P4/mmm (No. 123); the cell edges are 6.3604, 6.3604 and 4.4743 Å and the angles 90.00°, 90.00° and 90.00°. The distinct sites, in fractional coordinates, are Cs at (0.0000, 0.5000, 0.0000), Cd at (0.0000, 0.0000, 0.5000), Br at (0.5000, 0.5000, 0.5000) and O at (0.0000, 0.0000, 0.0000).

Its calculated volume is 36.202 Å³/atom. The total magnetization is 0.00 μB per formula unit. The calculation puts the total energy at -2.95 eV per atom. The calculation puts the density at 4.3 g/cm³.


DFT (PBE) results for a relaxed structure of TbTmGaGe.

The structure belongs to space group F-43m (No. 216); the cell edges are 7.1216, 7.1216 and 7.1216 Å and the angles 90.00°, 90.00° and 90.00°. The distinct sites, in fractional coordinates, are Tb at (0.0000, 0.0000, 0.0000), Tm at (0.0000, 0.0000, 0.5000), Ga at (0.2500, 0.2500, 0.7500) and Ge at (0.2500, 0.2500, 0.2500).

Its formation energy is -55 kJ per mole of atoms. Its calculated volume is 22.574 Å³/atom. The total magnetization is 0.00 μB per formula unit. The calculation puts the total energy at -4.76 eV per atom. The calculation puts the density at 8.6 g/cm³.


Question: Look up the calculated volume of the eighth one.
Answer: 22.574 Å³/atom